! PBE BaLiNF2, relaxed; values from VASP
! Volume = 70.7 Å³/f.u.
! SG = P4/mmm
! VASP energy = -4.978 eV/atom
! Calculated density = 4.61 g/cm3
! E above lowest polymorph = 0.000 eV/atom
! Formation energy from raw total energies = -1.80 eV per atom
&SYSTEM
  ibrav = 0, nat = 5, ntyp = 4
/
ATOMIC_SPECIES
Ba 137.33 Ba.upf
Li 6.94 Li.upf
N 14.01 N.upf
F 19.00 F.upf
CELL_PARAMETERS angstrom
4.0485 0.0000 0.0000
0.0000 4.0485 0.0000
0.0000 0.0000 4.3143
ATOMIC_POSITIONS angstrom
Ba 0.0000 0.0000 0.0000
Li 2.0242 2.0242 2.1572
N 2.0242 2.0242 0.0000
F 0.0000 2.0242 2.1572
F 2.0242 0.0000 2.1572

=====

! PBE Ba2NaLiF, relaxed; values from VASP
! Volume = 171.8 Å³/f.u.
! SG = P4/mmm
! VASP energy = -2.810 eV/atom
! Calculated density = 3.13 g/cm3
! E above lowest polymorph = 0.000 eV/atom
! Formation energy from raw total energies = -1.02 eV per atom
&SYSTEM
  ibrav = 0, nat = 5, ntyp = 4
/
ATOMIC_SPECIES
Ba 137.33 Ba.upf
Na 22.99 Na.upf
Li 6.94 Li.upf
F 19.00 F.upf
CELL_PARAMETERS angstrom
5.7409 0.0000 0.0000
0.0000 5.7409 0.0000
0.0000 0.0000 5.2137
ATOMIC_POSITIONS angstrom
Ba 0.0000 2.8704 0.0000
Ba 2.8704 0.0000 0.0000
Na 0.0000 0.0000 2.6069
Li 2.8704 2.8704 2.6069
F 0.0000 0.0000 0.0000

=====

! PBE Ba2NaLiF, relaxed; values from VASP
! Volume = 171.2 Å³/f.u.
! SG = P4/mmm
! VASP energy = -2.765 eV/atom
! Calculated density = 3.14 g/cm3
! E above lowest polymorph = 0.045 eV/atom
! Formation energy from raw total energies = -0.98 eV per atom
&SYSTEM
  ibrav = 0, nat = 5, ntyp = 4
/
ATOMIC_SPECIES
Ba 137.33 Ba.upf
Na 22.99 Na.upf
Li 6.94 Li.upf
F 19.00 F.upf
CELL_PARAMETERS angstrom
5.8333 0.0000 0.0000
0.0000 5.8333 0.0000
0.0000 0.0000 5.0316
ATOMIC_POSITIONS angstrom
Ba 0.0000 2.9166 0.0000
Ba 2.9166 0.0000 0.0000
Na 0.0000 0.0000 2.5158
Li 2.9166 2.9166 2.5158
F 2.9166 2.9166 0.0000